# 1
# CdCo2Hg2 PBE-GGA relaxed
data_CdCo2Hg2
_chemical_formula_sum 'Cd2 Co4 Hg4'
_space_group_name_H-M_alt 'P 4/m b m'
_space_group_IT_number 127
_space_group_name_Hall '-P 4 2ab'
_cell_length_a 6.753
_cell_length_b 6.753
_cell_length_c 3.857
_cell_angle_alpha 90.00
_cell_angle_beta 90.00
_cell_angle_gamma 90.00
loop_
_atom_site_label
_atom_site_fract_x
_atom_site_fract_y
_atom_site_fract_z
Cd1 0.000 0.000 0.000
Co1 0.119 0.381 0.000
Hg1 0.174 0.674 0.500
# Energy, eV/atom: -2.7852
# Formation enthalpy at 0 K, eV/f.u.: 1.80
# M_tot, μB/cell: 4.939

# 2
# CdCo2Hg PBE-GGA relaxed
data_CdCo2Hg
_chemical_formula_sum 'Cd1 Co2 Hg1'
_space_group_name_H-M_alt 'P 1 2/m 1'
_space_group_IT_number 10
_cell_length_a 4.767
_cell_length_b 2.889
_cell_length_c 4.999
_cell_angle_alpha 90.00
_cell_angle_beta 110.65
_cell_angle_gamma 90.00
loop_
_space_group_symop_operation_xyz
'x,y,z'
'-x,-y,-z'
'-x,y,-z'
'x,-y,z'
loop_
_atom_site_label
_atom_site_fract_x
_atom_site_fract_y
_atom_site_fract_z
Cd1 0.000 0.000 0.000
Co1 0.500 0.000 0.500
Co2 0.500 0.500 0.000
Hg1 0.000 0.500 0.500
# Energy, eV/atom: -3.3550
# Formation enthalpy at 0 K, eV/f.u.: 2.01
# M_tot, μB/cell: 3.078

# 3
# CdCoHg PBE-GGA relaxed
data_CdCoHg
_chemical_formula_sum 'Cd1 Co1 Hg1'
_space_group_name_H-M_alt 'P 3 m 1'
_space_group_IT_number 156
_cell_length_a 3.0204
_cell_length_b 3.0204
_cell_length_c 6.9747
_cell_angle_alpha 90.00
_cell_angle_beta 90.00
_cell_angle_gamma 120.00
loop_
_space_group_symop_operation_xyz
'x,y,z'
'-y,x-y,z'
'-x+y,-x,z'
'-y,-x,z'
'-x+y,y,z'
'x,x-y,z'
loop_
_atom_site_label
_atom_site_fract_x
_atom_site_fract_y
_atom_site_fract_z
Cd1 0.0000 0.0000 0.0000
Co1 0.6667 0.3333 0.3034
Hg1 0.3333 0.6667 0.6097
# Energy, eV/atom: -2.3662
# Formation enthalpy at 0 K, eV/f.u.: 1.22
# M_tot, μB/cell: 1.537

# 4
# CdCoHg PBE-GGA relaxed
data_CdCoHg
_chemical_formula_sum 'Cd2 Co2 Hg2'
_space_group_name_H-M_alt 'I 4 m m'
_space_group_IT_number 107
_space_group_name_Hall 'I 4 -2'
_cell_length_a 3.076
_cell_length_b 3.076
_cell_length_c 11.350
_cell_angle_alpha 90.00
_cell_angle_beta 90.00
_cell_angle_gamma 90.00
loop_
_atom_site_label
_atom_site_fract_x
_atom_site_fract_y
_atom_site_fract_z
Cd1 0.000 0.000 0.000
Co1 0.000 0.000 0.352
Hg1 0.000 0.000 0.704
# Energy, eV/atom: -2.4254
# Formation enthalpy at 0 K, eV/f.u.: 1.05
# M_tot, μB/cell: 2.564

# 5
# CdCo2Hg PBE-GGA relaxed
data_CdCo2Hg
_chemical_formula_sum 'Cd1 Co2 Hg1'
_space_group_name_H-M_alt 'P 4 m m'
_space_group_IT_number 99
_cell_length_a 2.972
_cell_length_b 2.972
_cell_length_c 7.332
_cell_angle_alpha 90.00
_cell_angle_beta 90.00
_cell_angle_gamma 90.00
loop_
_space_group_symop_operation_xyz
'x,y,z'
'-y,x,z'
'-x,-y,z'
'y,-x,z'
'-x,y,z'
'y,x,z'
'x,-y,z'
'-y,-x,z'
loop_
_atom_site_label
_atom_site_fract_x
_atom_site_fract_y
_atom_site_fract_z
Cd1 0.000 0.000 0.000
Co1 0.000 0.000 0.409
Co2 0.500 0.500 0.252
Hg1 0.500 0.500 0.668
# Energy, eV/atom: -3.6200
# Formation enthalpy at 0 K, eV/f.u.: 0.95
# M_tot, μB/cell: 3.343

# 6
# CdCoHg2 PBE-GGA relaxed
data_CdCoHg2
_chemical_formula_sum 'Cd2 Co2 Hg4'
_space_group_name_H-M_alt 'C 1 2/m 1'
_space_group_IT_number 12
_cell_length_a 5.984
_cell_length_b 9.820
_cell_length_c 3.079
_cell_angle_alpha 90.00
_cell_angle_beta 118.22
_cell_angle_gamma 90.00
loop_
_space_group_symop_operation_xyz
'x,y,z'
'-x,-y,-z'
'-x,y,-z'
'x,-y,z'
'x+1/2,y+1/2,z'
'-x+1/2,-y+1/2,-z'
'-x+1/2,y+1/2,-z'
'x+1/2,-y+1/2,z'
loop_
_atom_site_label
_atom_site_fract_x
_atom_site_fract_y
_atom_site_fract_z
Cd1 0.000 0.000 0.000
Co1 0.000 0.500 0.000
Hg1 0.250 0.250 0.000
# Energy, eV/atom: -1.7307
# Formation enthalpy at 0 K, eV/f.u.: 1.70
# M_tot, μB/cell: 2.874

# 7
# CdCo2Hg PBE-GGA relaxed
data_CdCo2Hg
_chemical_formula_sum 'Cd4 Co8 Hg4'
_space_group_name_H-M_alt 'F -4 3 m'
_space_group_IT_number 216
_space_group_name_Hall 'F -4 2 3'
_cell_length_a 6.350
_cell_length_b 6.350
_cell_length_c 6.350
_cell_angle_alpha 90.00
_cell_angle_beta 90.00
_cell_angle_gamma 90.00
loop_
_atom_site_label
_atom_site_fract_x
_atom_site_fract_y
_atom_site_fract_z
Cd1 0.000 0.000 0.000
Co1 0.000 0.000 0.500
Co2 0.250 0.250 0.250
Hg1 0.250 0.250 0.750
# Energy, eV/atom: -3.3557
# Formation enthalpy at 0 K, eV/f.u.: 2.01
# M_tot, μB/cell: 12.958

# 8
# CdCo2Hg PBE-GGA relaxed
data_CdCo2Hg
_chemical_formula_sum 'Cd3 Co6 Hg3'
_space_group_name_H-M_alt 'R -3 m'
_space_group_IT_number 166
_space_group_name_Hall '-R 3 2"'
_cell_length_a 2.9004
_cell_length_b 2.9004
_cell_length_c 26.6180
_cell_angle_alpha 90.00
_cell_angle_beta 90.00
_cell_angle_gamma 120.00
loop_
_atom_site_label
_atom_site_fract_x
_atom_site_fract_y
_atom_site_fract_z
Cd1 0.0000 0.0000 0.0000
Co1 0.0000 0.0000 0.2501
Hg1 0.0000 0.0000 0.5000
# Energy, eV/atom: -3.3543
# Formation enthalpy at 0 K, eV/f.u.: 2.01
# M_tot, μB/cell: 9.144

# 9
# CdCo2Hg PBE-GGA relaxed
data_CdCo2Hg
_chemical_formula_sum 'Cd4 Co8 Hg4'
_space_group_name_H-M_alt 'F m -3 m'
_space_group_IT_number 225
_space_group_name_Hall '-F 4 2 3'
_cell_length_a 6.294
_cell_length_b 6.294
_cell_length_c 6.294
_cell_angle_alpha 90.00
_cell_angle_beta 90.00
_cell_angle_gamma 90.00
loop_
_atom_site_label
_atom_site_fract_x
_atom_site_fract_y
_atom_site_fract_z
Cd1 0.000 0.000 0.000
Co1 0.250 0.250 0.250
Hg1 0.000 0.000 0.500
# Energy, eV/atom: -3.3965
# Formation enthalpy at 0 K, eV/f.u.: 1.84
# M_tot, μB/cell: 9.745

# 10
# CdCoHg PBE-GGA relaxed
data_CdCoHg
_chemical_formula_sum 'Cd4 Co4 Hg4'
_space_group_name_H-M_alt 'F -4 3 m'
_space_group_IT_number 216
_space_group_name_Hall 'F -4 2 3'
_cell_length_a 6.234
_cell_length_b 6.234
_cell_length_c 6.234
_cell_angle_alpha 90.00
_cell_angle_beta 90.00
_cell_angle_gamma 90.00
loop_
_atom_site_label
_atom_site_fract_x
_atom_site_fract_y
_atom_site_fract_z
Cd1 0.000 0.000 0.000
Co1 0.250 0.250 0.250
Hg1 0.000 0.000 0.500
# Energy, eV/atom: -2.3172
# Formation enthalpy at 0 K, eV/f.u.: 1.37
# M_tot, μB/cell: 4.139

# 11
# CdCo2Hg PBE-GGA relaxed
data_CdCo2Hg
_chemical_formula_sum 'Cd3 Co6 Hg3'
_space_group_name_H-M_alt 'R 3 m'
_space_group_IT_number 160
_space_group_name_Hall 'R 3 -2"'
_cell_length_a 2.8724
_cell_length_b 2.8724
_cell_length_c 28.1345
_cell_angle_alpha 90.00
_cell_angle_beta 90.00
_cell_angle_gamma 120.00
loop_
_atom_site_label
_atom_site_fract_x
_atom_site_fract_y
_atom_site_fract_z
Cd1 0.0000 0.0000 0.0000
Co1 0.0000 0.0000 0.4754
Co2 0.0000 0.0000 0.7485
Hg1 0.0000 0.0000 0.2254
# Energy, eV/atom: -3.5001
# Formation enthalpy at 0 K, eV/f.u.: 1.43
# M_tot, μB/cell: 9.833

# 12
# CdCoHg2 PBE-GGA relaxed
data_CdCoHg2
_chemical_formula_sum 'Cd1 Co1 Hg2'
_space_group_name_H-M_alt 'P 4 m m'
_space_group_IT_number 99
_cell_length_a 3.033
_cell_length_b 3.033
_cell_length_c 8.571
_cell_angle_alpha 90.00
_cell_angle_beta 90.00
_cell_angle_gamma 90.00
loop_
_space_group_symop_operation_xyz
'x,y,z'
'-y,x,z'
'-x,-y,z'
'y,-x,z'
'-x,y,z'
'y,x,z'
'x,-y,z'
'-y,-x,z'
loop_
_atom_site_label
_atom_site_fract_x
_atom_site_fract_y
_atom_site_fract_z
Cd1 0.000 0.000 0.000
Co1 0.500 0.500 0.200
Hg1 0.000 0.000 0.403
Hg2 0.500 0.500 0.707
# Energy, eV/atom: -1.8616
# Formation enthalpy at 0 K, eV/f.u.: 1.18
# M_tot, μB/cell: 1.091

# 13
# CdCoHg2 PBE-GGA relaxed
data_CdCoHg2
_chemical_formula_sum 'Cd1 Co1 Hg2'
_space_group_name_H-M_alt 'P 4/m m m'
_space_group_IT_number 123
_space_group_name_Hall '-P 4 2'
_cell_length_a 3.069
_cell_length_b 3.069
_cell_length_c 8.193
_cell_angle_alpha 90.00
_cell_angle_beta 90.00
_cell_angle_gamma 90.00
loop_
_atom_site_label
_atom_site_fract_x
_atom_site_fract_y
_atom_site_fract_z
Cd1 0.000 0.000 0.000
Co1 0.000 0.000 0.500
Hg1 0.500 0.500 0.290
# Energy, eV/atom: -1.8209
# Formation enthalpy at 0 K, eV/f.u.: 1.34
# M_tot, μB/cell: 1.254

# 14
# CdCo2Hg PBE-GGA relaxed
data_CdCo2Hg
_chemical_formula_sum 'Cd2 Co4 Hg2'
_space_group_name_H-M_alt 'C 1 2/m 1'
_space_group_IT_number 12
_cell_length_a 9.649
_cell_length_b 2.908
_cell_length_c 6.048
_cell_angle_alpha 90.00
_cell_angle_beta 116.13
_cell_angle_gamma 90.00
loop_
_space_group_symop_operation_xyz
'x,y,z'
'-x,-y,-z'
'-x,y,-z'
'x,-y,z'
'x+1/2,y+1/2,z'
'-x+1/2,-y+1/2,-z'
'-x+1/2,y+1/2,-z'
'x+1/2,-y+1/2,z'
loop_
_atom_site_label
_atom_site_fract_x
_atom_site_fract_y
_atom_site_fract_z
Cd1 0.000 0.000 0.000
Co1 0.233 0.000 0.845
Hg1 0.000 0.500 0.500
# Energy, eV/atom: -3.3871
# Formation enthalpy at 0 K, eV/f.u.: 1.88
# M_tot, μB/cell: 6.708

# 15
# CdCo2Hg PBE-GGA relaxed
data_CdCo2Hg
_chemical_formula_sum 'Cd2 Co4 Hg2'
_space_group_name_H-M_alt 'I -4 m 2'
_space_group_IT_number 119
_space_group_name_Hall 'I -4 -2'
_cell_length_a 3.967
_cell_length_b 3.967
_cell_length_c 8.012
_cell_angle_alpha 90.00
_cell_angle_beta 90.00
_cell_angle_gamma 90.00
loop_
_atom_site_label
_atom_site_fract_x
_atom_site_fract_y
_atom_site_fract_z
Cd1 0.000 0.000 0.000
Co1 0.000 0.000 0.500
Co2 0.000 0.500 0.750
Hg1 0.000 0.500 0.250
# Energy, eV/atom: -3.3954
# Formation enthalpy at 0 K, eV/f.u.: 1.85
# M_tot, μB/cell: 5.804

# 16
# CdCoHg2 PBE-GGA relaxed
data_CdCoHg2
_chemical_formula_sum 'Cd1 Co1 Hg2'
_space_group_name_H-M_alt 'P 1 m 1'
_space_group_IT_number 6
_cell_length_a 4.429
_cell_length_b 2.922
_cell_length_c 7.138
_cell_angle_alpha 90.00
_cell_angle_beta 107.97
_cell_angle_gamma 90.00
loop_
_space_group_symop_operation_xyz
'x,y,z'
'x,-y,z'
loop_
_atom_site_label
_atom_site_fract_x
_atom_site_fract_y
_atom_site_fract_z
Cd1 0.000 0.000 0.000
Co1 0.479 0.500 0.958
Hg1 0.313 0.000 0.629
Hg2 0.674 0.500 0.345
# Energy, eV/atom: -1.8482
# Formation enthalpy at 0 K, eV/f.u.: 1.23
# M_tot, μB/cell: 0.909

# 17
# CdCoHg2 PBE-GGA relaxed
data_CdCoHg2
_chemical_formula_sum 'Cd4 Co4 Hg8'
_space_group_name_H-M_alt 'I -4 2 d'
_space_group_IT_number 122
_space_group_name_Hall 'I -4 2bw'
_cell_length_a 4.219
_cell_length_b 4.219
_cell_length_c 19.373
_cell_angle_alpha 90.00
_cell_angle_beta 90.00
_cell_angle_gamma 90.00
loop_
_atom_site_label
_atom_site_fract_x
_atom_site_fract_y
_atom_site_fract_z
Cd1 0.000 0.000 0.000
Co1 0.000 0.000 0.500
Hg1 0.231 0.250 0.625
# Energy, eV/atom: -1.6705
# Formation enthalpy at 0 K, eV/f.u.: 1.94
# M_tot, μB/cell: 6.626

# 18
# CdCo2Hg PBE-GGA relaxed
data_CdCo2Hg
_chemical_formula_sum 'Cd4 Co8 Hg4'
_space_group_name_H-M_alt 'I -4 2 d'
_space_group_IT_number 122
_space_group_name_Hall 'I -4 2bw'
_cell_length_a 7.192
_cell_length_b 7.192
_cell_length_c 5.421
_cell_angle_alpha 90.00
_cell_angle_beta 90.00
_cell_angle_gamma 90.00
loop_
_atom_site_label
_atom_site_fract_x
_atom_site_fract_y
_atom_site_fract_z
Cd1 0.000 0.000 0.000
Co1 0.248 0.250 0.625
Hg1 0.000 0.000 0.500
# Energy, eV/atom: -3.1078
# Formation enthalpy at 0 K, eV/f.u.: 3.00
# M_tot, μB/cell: 11.967

# 19
# CdCoHg3 PBE-GGA relaxed
data_CdCoHg3
_chemical_formula_sum 'Cd1 Co1 Hg3'
_space_group_name_H-M_alt 'P m -3 m'
_space_group_IT_number 221
_space_group_name_Hall '-P 4 2 3'
_cell_length_a 5.071
_cell_length_b 5.071
_cell_length_c 5.071
_cell_angle_alpha 90.00
_cell_angle_beta 90.00
_cell_angle_gamma 90.00
loop_
_atom_site_label
_atom_site_fract_x
_atom_site_fract_y
_atom_site_fract_z
Cd1 0.000 0.000 0.000
Co1 0.500 0.500 0.500
Hg1 0.000 0.500 0.500
# Energy, eV/atom: -1.4205
# Formation enthalpy at 0 K, eV/f.u.: 1.82
# M_tot, μB/cell: 0.827

# 20
# CdCoHg2 PBE-GGA relaxed
data_CdCoHg2
_chemical_formula_sum 'Cd4 Co4 Hg8'
_space_group_name_H-M_alt 'F -4 3 m'
_space_group_IT_number 216
_space_group_name_Hall 'F -4 2 3'
_cell_length_a 6.745
_cell_length_b 6.745
_cell_length_c 6.745
_cell_angle_alpha 90.00
_cell_angle_beta 90.00
_cell_angle_gamma 90.00
loop_
_atom_site_label
_atom_site_fract_x
_atom_site_fract_y
_atom_site_fract_z
Cd1 0.000 0.000 0.000
Co1 0.250 0.250 0.250
Hg1 0.000 0.000 0.500
Hg2 0.250 0.250 0.750
# Energy, eV/atom: -1.7056
# Formation enthalpy at 0 K, eV/f.u.: 1.80
# M_tot, μB/cell: 5.876